A relaxed structure of YMg2TlBr. Source: Alexandria via LeMat-Bulk, functional GGA-PBE.

Values from the calculation:
size of the total moment: 0.49 Bohr magnetons per cell
DFT total energy: -12.2 eV/cell

Cell lengths 5.320, 5.320, 6.056 Å; angles 90.00, 90.00, 90.00 degrees
Atoms (fractional coordinates):
Y  0.000  0.000  0.000
Mg  0.000  0.500  0.500
Mg  0.500  0.000  0.500
Tl  0.500  0.500  0.500
Br  0.500  0.500  0.000



A relaxed structure of MnSiI2. Source: Alexandria via LeMat-Bulk, functional GGA-PBE.

Values from the calculation:
size of the total moment: 0.00 Bohr magnetons per cell
DFT total energy: -27.3 eV/cell

Cell lengths 6.928, 6.928, 6.928 Å; angles 120.68, 120.68, 88.83 degrees
Atoms (fractional coordinates):
Mn  0.000  0.000  0.000
Mn  0.750  0.250  0.500
Si  0.250  0.750  0.500
Si  0.500  0.500  0.000
I  0.066  0.625  0.941
I  0.375  0.316  0.441
I  0.684  0.125  0.059
I  0.875  0.934  0.559



A relaxed structure of Sm6Dy3Y2. Source: Alexandria via LeMat-Bulk, functional GGA-PBE.

Values from the calculation:
size of the total moment: 0.00 Bohr magnetons per cell
DFT total energy: -54.9 eV/cell

Cell lengths 6.229, 8.011, 8.043 Å; angles 107.49, 97.38, 104.80 degrees
Atoms (fractional coordinates):
Sm  0.045  0.182  0.410
Sm  0.136  0.545  0.229
Sm  0.319  0.273  0.864
Sm  0.681  0.727  0.136
Sm  0.864  0.455  0.771
Sm  0.955  0.818  0.590
Dy  0.410  0.637  0.682
Dy  0.500  0.000  0.500
Dy  0.590  0.363  0.318
Y  0.228  0.910  0.046
Y  0.772  0.090  0.954



A relaxed structure of BaTaRh2. Source: Alexandria via LeMat-Bulk, functional GGA-PBE.

Values from the calculation:
size of the total moment: 0.00 Bohr magnetons per cell
DFT total energy: -28.3 eV/cell

Cell lengths 3.479, 4.095, 6.828 Å; angles 90.00, 98.51, 90.00 degrees
Atoms (fractional coordinates):
Ba  0.000  0.000  0.000
Ta  0.153  0.500  0.530
Rh  0.576  0.500  0.264
Rh  0.634  0.000  0.533



A relaxed structure of La2AgN. Source: Alexandria via LeMat-Bulk, functional GGA-PBE.

Values from the calculation:
size of the total moment: 0.00 Bohr magnetons per cell
DFT total energy: -47.8 eV/cell

Cell lengths 6.878, 6.878, 6.878 Å; angles 135.02, 84.18, 113.20 degrees
Atoms (fractional coordinates):
La  0.109  0.250  0.359
La  0.157  0.593  0.064
La  0.529  0.093  0.936
La  0.891  0.750  0.641
Ag  0.503  0.328  0.675
Ag  0.653  0.828  0.325
N  0.159  0.788  0.871
N  0.917  0.288  0.129



A relaxed structure of PaCrRe. Source: Alexandria via LeMat-Bulk, functional GGA-PBE.

Values from the calculation:
size of the total moment: 0.00 Bohr magnetons per cell
DFT total energy: -31.3 eV/cell

Cell lengths 6.177, 6.177, 6.177 Å; angles 151.97, 151.97, 40.05 degrees
Atoms (fractional coordinates):
Pa  0.000  0.000  0.000
Cr  0.311  0.311  0.000
Re  0.698  0.698  0.000



A relaxed structure of Cs2AsI6. Source: Alexandria via LeMat-Bulk, functional GGA-PBE.

Values from the calculation:
size of the total moment: 2.15 Bohr magnetons per cell
DFT total energy: -43.1 eV/cell

Cell lengths 8.235, 8.235, 16.086 Å; angles 90.00, 90.00, 90.00 degrees
Atoms (fractional coordinates):
Cs  0.000  0.000  0.168
Cs  0.000  0.000  0.832
Cs  0.500  0.500  0.332
Cs  0.500  0.500  0.668
As  0.000  0.000  0.500
As  0.500  0.500  0.000
I  0.174  0.174  0.373
I  0.174  0.174  0.627
I  0.246  0.754  0.500
I  0.254  0.254  0.000
I  0.326  0.674  0.127
I  0.326  0.674  0.873
I  0.674  0.326  0.127
I  0.674  0.326  0.873
I  0.746  0.746  0.000
I  0.754  0.246  0.500
I  0.826  0.826  0.373
I  0.826  0.826  0.627



A relaxed structure of SrMoSe2. Source: Alexandria via LeMat-Bulk, functional GGA-PBE.

Values from the calculation:
size of the total moment: 3.73 Bohr magnetons per cell
DFT total energy: -21.6 eV/cell

Cell lengths 3.902, 7.244, 7.244 Å; angles 30.83, 90.00, 90.00 degrees
Atoms (fractional coordinates):
Sr  0.000  0.000  0.000
Mo  0.500  0.770  0.770
Se  0.000  0.309  0.309
Se  0.500  0.587  0.587



- size of the total moment of number 5 (La2AgN)?
  0.00 Bohr magnetons per cell



- The highest DFT total energy belongs to which entry?
  YMg2TlBr